Record 1
Compound: Mg2MnCl
Source: Alexandria via LeMat-Bulk
Functional: GGA-PBE
Structure: relaxed

Results
total magnetization: 4.12 μB per cell
calculated density: 2.59 g/cm³
symmetry: P4mm (99)
raw total energy: -14.58 eV/f.u.

Cell: 3.219 3.219 8.594 Å, 90.00 90.00 90.00°
Element x y z (fractional)
Mg: 0.000 0.000 0.000
Mg: 0.500 0.500 0.265
Mn: 0.000 0.000 0.460
Cl: 0.500 0.500 0.832



Record 2
Compound: CeThAgRh
Source: Alexandria via LeMat-Bulk
Functional: GGA-PBE
Structure: relaxed

Results
total magnetization: 0.78 μB per cell
calculated density: 10.20 g/cm³
E_form: -1.343 eV/f.u.
symmetry: F-43m (216)
raw total energy: -24.90 eV/f.u.

Cell: 5.119 5.119 5.119 Å, 60.00 60.00 60.00°
Element x y z (fractional)
Ce: 0.000 0.000 0.000
Th: 0.500 0.500 0.500
Ag: 0.250 0.250 0.250
Rh: 0.750 0.750 0.750



Record 3
Compound: AcNdBr2
Source: Alexandria via LeMat-Bulk
Functional: GGA-PBE
Structure: relaxed

Results
total magnetization: 0.71 μB per cell
calculated density: 6.41 g/cm³
symmetry: R-3m (166)
raw total energy: -16.65 eV/f.u.

Cell: 10.875 10.875 10.875 Å, 20.47 20.47 20.47°
Element x y z (fractional)
Ac: 0.000 0.000 0.000
Nd: 0.500 0.500 0.500
Br: 0.100 0.100 0.100
Br: 0.900 0.900 0.900



Record 4
Compound: GePdI2
Source: Alexandria via LeMat-Bulk
Functional: GGA-PBE
Structure: relaxed

Results
total magnetization: 0.00 μB per cell
calculated density: 5.13 g/cm³
symmetry: I-42d (122)
raw total energy: -12.35 eV/f.u.

Cell: 7.862 7.862 7.862 Å, 129.72 129.72 73.86°
Element x y z (fractional)
Ge: 0.000 0.000 0.000
Ge: 0.750 0.250 0.500
Pd: 0.250 0.750 0.500
Pd: 0.500 0.500 0.000
I: 0.155 0.625 0.030
I: 0.375 0.405 0.530
I: 0.595 0.125 0.970
I: 0.875 0.845 0.470